*A*
The following is a DFT calculation (PBE) of a geometry-optimized In3RuW structure. Values from VASP.

calculated volume	141.5	Å³ per cell
size of the total moment	0.538	μB per atom
D(E_F)	3.31	states/eV per cell

Cell and atoms, written as Quantum ESPRESSO input:
```
&SYSTEM
  ibrav = 0, nat = 5, ntyp = 3
/
ATOMIC_SPECIES
In 114.82 In.upf
Ru 101.07 Ru.upf
W 183.84 W.upf
ATOMIC_POSITIONS angstrom
In 0.000 0.000 2.606
In 0.000 2.606 0.000
In 2.606 0.000 0.000
Ru 2.606 2.606 2.606
W 0.000 0.000 0.000
CELL_PARAMETERS angstrom
5.211 0.000 0.000
0.000 5.211 0.000
0.000 0.000 5.211
```

=====

*B*
The following is a DFT calculation (PBE) of a geometry-optimized In3RuW structure. Values from VASP.

calculated volume	131.6	Å³ per cell
size of the total moment	0.939	μB per atom
D(E_F)	2.68	states/eV per cell

Cell and atoms, written as Quantum ESPRESSO input:
```
&SYSTEM
  ibrav = 0, nat = 5, ntyp = 3
/
ATOMIC_SPECIES
In 114.82 In.upf
Ru 101.07 Ru.upf
W 183.84 W.upf
ATOMIC_POSITIONS angstrom
In 0.000 0.000 2.543
In 0.000 2.543 0.000
In 2.543 0.000 0.000
Ru 0.000 0.000 0.000
W 2.543 2.543 2.543
CELL_PARAMETERS angstrom
5.087 0.000 0.000
0.000 5.087 0.000
0.000 0.000 5.087
```

=====

Most stable structure: *B*

=====

*A*
The following is a DFT calculation (PBE) of a geometry-optimized ZnIn3Ru structure. Values from VASP.

calculated volume	128.6	Å³ per cell
size of the total moment	0.407	μB per atom
D(E_F)	9.86	states/eV per cell

Cell and atoms, written as Quantum ESPRESSO input:
```
&SYSTEM
  ibrav = 0, nat = 5, ntyp = 3
/
ATOMIC_SPECIES
Zn 65.41 Zn.upf
In 114.82 In.upf
Ru 101.07 Ru.upf
ATOMIC_POSITIONS angstrom
Zn 0.000 0.000 0.000
In 0.000 0.000 2.524
In 0.000 2.524 0.000
In 2.524 0.000 0.000
Ru 2.524 2.524 2.524
CELL_PARAMETERS angstrom
5.048 0.000 0.000
0.000 5.048 0.000
0.000 0.000 5.048
```

=====

*B*
The following is a DFT calculation (PBE) of a geometry-optimized ZnIn3Ru structure. Values from VASP.

calculated volume	139.0	Å³ per cell
size of the total moment	0.000	μB per atom
D(E_F)	2.66	states/eV per cell

Cell and atoms, written as Quantum ESPRESSO input:
```
&SYSTEM
  ibrav = 0, nat = 5, ntyp = 3
/
ATOMIC_SPECIES
Zn 65.41 Zn.upf
In 114.82 In.upf
Ru 101.07 Ru.upf
ATOMIC_POSITIONS angstrom
Zn 0.000 0.000 0.000
In 0.000 2.590 2.590
In 2.590 0.000 2.590
In 2.590 2.590 0.000
Ru 2.590 2.590 2.590
CELL_PARAMETERS angstrom
5.180 0.000 0.000
0.000 5.180 0.000
0.000 0.000 5.180
```

=====

Most stable structure: *B*

=====

*A*
The following is a DFT calculation (PBE) of a geometry-optimized InSb2S2 structure. Values from VASP.

calculated volume	280.7	Å³ per cell
size of the total moment	0.000	μB per atom
D(E_F)	2.66	states/eV per cell

Cell and atoms, written as Quantum ESPRESSO input:
```
&SYSTEM
  ibrav = 0, nat = 10, ntyp = 3
/
ATOMIC_SPECIES
In 114.82 In.upf
Sb 121.76 Sb.upf
S 32.06 S.upf
ATOMIC_POSITIONS angstrom
In 0.000 0.000 0.000
In 4.405 4.405 0.000
Sb 1.943 2.461 0.000
Sb 2.461 6.866 0.000
Sb 6.348 1.943 0.000
Sb 6.866 6.348 0.000
S 1.224 5.629 1.809
S 3.180 1.224 1.809
S 5.629 7.585 1.809
S 7.585 3.180 1.809
CELL_PARAMETERS angstrom
8.809 0.000 0.000
0.000 8.809 0.000
0.000 0.000 3.617
```

=====

*B*
The following is a DFT calculation (PBE) of a geometry-optimized InSb2S2 structure. Values from VASP.

calculated volume	280.3	Å³ per cell
size of the total moment	0.000	μB per atom
D(E_F)	4.45	states/eV per cell

Cell and atoms, written as Quantum ESPRESSO input:
```
&SYSTEM
  ibrav = 0, nat = 10, ntyp = 3
/
ATOMIC_SPECIES
In 114.82 In.upf
Sb 121.76 Sb.upf
S 32.06 S.upf
ATOMIC_POSITIONS angstrom
In 0.000 0.000 0.000
In 2.715 2.715 4.755
Sb 0.000 0.000 3.036
Sb 0.000 0.000 6.474
Sb 2.715 2.715 1.719
Sb 2.715 2.715 7.791
S 0.000 2.715 2.378
S 0.000 2.715 7.133
S 2.715 0.000 2.378
S 2.715 0.000 7.133
CELL_PARAMETERS angstrom
5.429 0.000 0.000
0.000 5.429 0.000
0.000 0.000 9.510
```

=====

Most stable structure: *A*

=====

*A*
The following is a DFT calculation (PBE) of a geometry-optimized InSbS3 structure. Values from VASP.

calculated volume	501.3	Å³ per cell
size of the total moment	0.000	μB per atom

Cell and atoms, written as Quantum ESPRESSO input:
```
&SYSTEM
  ibrav = 0, nat = 20, ntyp = 3
/
ATOMIC_SPECIES
In 114.82 In.upf
Sb 121.76 Sb.upf
S 32.06 S.upf
ATOMIC_POSITIONS angstrom
In 1.401 0.973 0.614
In 3.350 2.918 7.393
In 6.151 0.973 6.166
In 8.101 2.918 12.945
Sb 0.253 0.973 8.690
Sb 4.497 2.918 1.910
Sb 5.004 0.973 11.649
Sb 9.248 2.918 4.869
S 0.021 0.973 11.988
S 1.511 0.973 6.509
S 1.778 2.918 9.498
S 2.973 0.973 2.718
S 3.240 2.918 13.289
S 4.730 2.918 5.208
S 4.772 0.973 8.351
S 6.262 0.973 0.270
S 6.529 2.918 10.841
S 7.724 0.973 4.061
S 7.991 2.918 7.050
S 9.480 2.918 1.571
CELL_PARAMETERS angstrom
9.502 0.000 0.000
0.000 3.891 0.000
0.000 0.000 13.559
```

=====

*B*
The following is a DFT calculation (PBE) of a geometry-optimized InSbS3 structure. Values from VASP.

calculated volume	127.7	Å³ per cell
size of the total moment	0.000	μB per atom
D(E_F)	3.44	states/eV per cell

Cell and atoms, written as Quantum ESPRESSO input:
```
&SYSTEM
  ibrav = 0, nat = 5, ntyp = 3
/
ATOMIC_SPECIES
In 114.82 In.upf
Sb 121.76 Sb.upf
S 32.06 S.upf
ATOMIC_POSITIONS angstrom
In 0.000 0.000 0.000
Sb 2.518 2.518 2.518
S 0.000 2.518 2.518
S 2.518 0.000 2.518
S 2.518 2.518 0.000
CELL_PARAMETERS angstrom
5.035 0.000 0.000
0.000 5.035 0.000
0.000 0.000 5.035
```

=====

Most stable structure: *A*

=====

*A*
The following is a DFT calculation (PBE) of a geometry-optimized In2SbS structure. Values from VASP.

calculated volume	401.5	Å³ per cell
size of the total moment	0.000	μB per atom
D(E_F)	5.04	states/eV per cell

Cell and atoms, written as Quantum ESPRESSO input:
```
&SYSTEM
  ibrav = 0, nat = 12, ntyp = 3
/
ATOMIC_SPECIES
In 114.82 In.upf
Sb 121.76 Sb.upf
S 32.06 S.upf
ATOMIC_POSITIONS angstrom
In 0.000 0.000 0.000
In 0.000 0.000 10.325
In 0.000 2.691 3.212
In 0.000 2.691 14.227
In 2.330 1.345 7.114
In 2.330 1.345 17.439
Sb 0.000 0.000 18.381
Sb 0.000 2.691 11.268
Sb 2.330 1.345 4.154
S 0.000 0.000 7.726
S 0.000 2.691 0.612
S 2.330 1.345 14.840
CELL_PARAMETERS angstrom
4.661 0.000 0.000
-2.330 4.036 0.000
0.000 0.000 21.341
```

=====

*B*
The following is a DFT calculation (PBE) of a geometry-optimized In2SbS structure. Values from VASP.

calculated volume	315.4	Å³ per cell
size of the total moment	0.000	μB per atom
D(E_F)	3.87	states/eV per cell

Cell and atoms, written as Quantum ESPRESSO input:
```
&SYSTEM
  ibrav = 0, nat = 12, ntyp = 3
/
ATOMIC_SPECIES
In 114.82 In.upf
Sb 121.76 Sb.upf
S 32.06 S.upf
ATOMIC_POSITIONS angstrom
In 0.000 0.000 0.000
In 0.000 0.000 3.613
In 0.000 2.297 15.345
In 0.000 2.297 18.958
In 1.989 1.148 7.673
In 1.989 1.148 11.286
Sb 0.000 0.000 13.382
Sb 0.000 2.297 5.709
Sb 1.989 1.148 21.054
S 0.000 0.000 9.230
S 0.000 2.297 1.557
S 1.989 1.148 16.903
CELL_PARAMETERS angstrom
3.978 0.000 0.000
-1.989 3.445 0.000
0.000 0.000 23.018
```

=====

Most stable structure: *A*

=====

*A*
The following is a DFT calculation (PBE) of a geometry-optimized In2SbS structure. Values from VASP.

calculated volume	393.6	Å³ per cell
size of the total moment	0.000	μB per atom
D(E_F)	14.50	states/eV per cell

Cell and atoms, written as Quantum ESPRESSO input:
```
&SYSTEM
  ibrav = 0, nat = 16, ntyp = 3
/
ATOMIC_SPECIES
In 114.82 In.upf
Sb 121.76 Sb.upf
S 32.06 S.upf
ATOMIC_POSITIONS angstrom
In 1.832 1.832 1.832
In 1.832 1.832 5.497
In 1.832 5.497 1.832
In 1.832 5.497 5.497
In 5.497 1.832 1.832
In 5.497 1.832 5.497
In 5.497 5.497 1.832
In 5.497 5.497 5.497
Sb 0.000 0.000 0.000
Sb 0.000 3.664 3.664
Sb 3.664 0.000 3.664
Sb 3.664 3.664 0.000
S 0.000 0.000 3.664
S 0.000 3.664 0.000
S 3.664 0.000 0.000
S 3.664 3.664 3.664
CELL_PARAMETERS angstrom
7.329 0.000 0.000
0.000 7.329 0.000
0.000 0.000 7.329
```

=====

*B*
The following is a DFT calculation (PBE) of a geometry-optimized In2SbS structure. Values from VASP.

calculated volume	540.9	Å³ per cell
size of the total moment	0.000	μB per atom
D(E_F)	7.86	states/eV per cell

Cell and atoms, written as Quantum ESPRESSO input:
```
&SYSTEM
  ibrav = 0, nat = 16, ntyp = 3
/
ATOMIC_SPECIES
In 114.82 In.upf
Sb 121.76 Sb.upf
S 32.06 S.upf
ATOMIC_POSITIONS angstrom
In 1.435 1.597 1.657
In 1.597 4.629 4.971
In 1.597 4.953 11.599
In 1.759 1.597 8.285
In 4.629 4.791 8.285
In 4.791 1.435 11.599
In 4.791 1.759 4.971
In 4.953 4.791 1.657
Sb 0.000 0.000 6.628
Sb 0.000 3.194 9.942
Sb 3.194 0.000 3.314
Sb 3.194 3.194 0.000
S 0.000 0.000 0.000
S 0.000 3.194 3.314
S 3.194 0.000 9.942
S 3.194 3.194 6.628
CELL_PARAMETERS angstrom
6.388 0.000 0.000
0.000 6.388 0.000
0.000 0.000 13.256
```

=====

Most stable structure: *B*

=====

*A*
The following is a DFT calculation (PBE) of a geometry-optimized In3SbS structure. Values from VASP.

calculated volume	150.7	Å³ per cell
size of the total moment	0.000	μB per atom
D(E_F)	3.17	states/eV per cell

Cell and atoms, written as Quantum ESPRESSO input:
```
&SYSTEM
  ibrav = 0, nat = 5, ntyp = 3
/
ATOMIC_SPECIES
In 114.82 In.upf
Sb 121.76 Sb.upf
S 32.06 S.upf
ATOMIC_POSITIONS angstrom
In 0.000 0.000 2.660
In 0.000 2.660 0.000
In 2.660 0.000 0.000
Sb 2.660 2.660 2.660
S 0.000 0.000 0.000
CELL_PARAMETERS angstrom
5.321 0.000 0.000
0.000 5.321 0.000
0.000 0.000 5.321
```

=====

*B*
The following is a DFT calculation (PBE) of a geometry-optimized In3SbS structure. Values from VASP.

calculated volume	188.5	Å³ per cell
size of the total moment	0.000	μB per atom
D(E_F)	1.41	states/eV per cell

Cell and atoms, written as Quantum ESPRESSO input:
```
&SYSTEM
  ibrav = 0, nat = 5, ntyp = 3
/
ATOMIC_SPECIES
In 114.82 In.upf
Sb 121.76 Sb.upf
S 32.06 S.upf
ATOMIC_POSITIONS angstrom
In 0.000 0.000 2.867
In 0.000 2.867 0.000
In 2.867 0.000 0.000
Sb 0.000 0.000 0.000
S 2.867 2.867 2.867
CELL_PARAMETERS angstrom
5.733 0.000 0.000
0.000 5.733 0.000
0.000 0.000 5.733
```

=====

Most stable structure: *A*

=====

*A*
The following is a DFT calculation (PBE) of a geometry-optimized Sc3InS6 structure. Values from VASP.

calculated volume	217.2	Å³ per cell
size of the total moment	0.000	μB per atom
D(E_F)	0.00	states/eV per cell

Cell and atoms, written as Quantum ESPRESSO input:
```
&SYSTEM
  ibrav = 0, nat = 10, ntyp = 3
/
ATOMIC_SPECIES
Sc 44.96 Sc.upf
In 114.82 In.upf
S 32.06 S.upf
ATOMIC_POSITIONS angstrom
Sc 0.000 0.000 0.000
Sc 0.000 0.000 3.461
Sc 0.000 0.000 12.202
In 0.000 0.000 8.721
S -1.057 -2.088 7.633
S -2.031 0.013 10.591
S -1.280 1.959 7.633
S 1.005 -1.766 10.591
S 2.336 0.129 7.633
S 1.027 1.753 10.591
CELL_PARAMETERS angstrom
3.261 1.883 5.895
-3.261 1.883 5.895
0.000 -3.766 5.895
```

=====

*B*
The following is a DFT calculation (PBE) of a geometry-optimized Sc3InS6 structure. Values from VASP.

calculated volume	415.7	Å³ per cell
size of the total moment	0.000	μB per atom
D(E_F)	0.00	states/eV per cell

Cell and atoms, written as Quantum ESPRESSO input:
```
&SYSTEM
  ibrav = 0, nat = 20, ntyp = 3
/
ATOMIC_SPECIES
Sc 44.96 Sc.upf
In 114.82 In.upf
S 32.06 S.upf
ATOMIC_POSITIONS angstrom
Sc 5.097 5.238 3.174
Sc 3.192 1.234 3.786
Sc 3.192 -1.234 0.612
Sc 7.002 1.234 3.786
Sc 7.002 -1.234 0.612
Sc 5.097 -5.238 0.000
In 5.097 2.638 0.700
In 5.097 -2.638 3.874
S 3.295 3.597 2.108
S 1.663 0.454 1.880
S 1.663 -0.454 5.053
S 5.097 2.817 4.620
S 6.899 3.597 2.108
S 5.097 0.411 1.864
S 5.097 -0.411 5.037
S 3.295 -3.597 5.282
S 5.097 -2.817 1.447
S 8.531 0.454 1.880
S 8.531 -0.454 5.053
S 6.899 -3.597 5.282
CELL_PARAMETERS angstrom
5.097 -6.424 0.000
5.097 6.424 0.000
0.000 0.000 6.347
```

=====

Most stable structure: *A*